A plane-wave DFT calculation with PBE was carried out for a relaxed KSbMo2 crystal.

Properties
Its magnetic moment is 0.0 Bohr magnetons per cell. The total energy is -5.683 eV per atom. As for the formation energy from raw total energies: 1.038 eV/atom. As for the density of states at the Fermi level: 0.840 states/eV per atom.

a b c (Å): 6.515 6.515 6.515
angles (deg): 154.94 130.66 56.13
Fractional coordinates of all 4 atoms:
K 0.750 0.250 0.500
Mo 0.040 0.040 0.000
Mo 0.460 0.460 0.000
Sb 0.250 0.750 0.500